Record 1
Compound: Ho2Tm2Se2S3
Source: Alexandria via LeMat-Bulk
Functional: PBE-GGA
Structure: optimized geometry

## Properties
The value obtained for the volume is 202.1 Å³/f.u. The uncorrected formation energy is -1.648 eV/atom. The calculation puts the magnetic moment at 0.000 μB/atom. The space group is I4/mmm, No. 139.

abc: 5.275 5.275 8.164
angles: 108.85 108.85 90.00
Fractional coordinates of all 9 atoms:
Ho1 0.798 0.798 0.597
Ho2 0.202 0.202 0.403
Se1 0.603 0.603 0.206
S1 0.000 0.000 0.000
Se2 0.397 0.397 0.794
S2 0.750 0.250 0.500
S3 0.250 0.750 0.500
Tm1 0.500 0.000 0.000
Tm2 0.000 0.500 0.000


Record 2
Compound: Ho2Tm2Se3S2
Source: Alexandria via LeMat-Bulk
Functional: PBE-GGA
Structure: optimized geometry

## Properties
The value obtained for the volume is 211.0 Å³/f.u. The uncorrected formation energy is -1.524 eV/atom. The calculation puts the magnetic moment at 0.000 μB/atom. The space group is I4/mmm, No. 139.

abc: 5.498 5.498 7.991
angles: 110.12 110.12 90.00
Fractional coordinates of all 9 atoms:
Se1 0.750 0.250 0.500
S1 0.599 0.599 0.198
Se2 0.250 0.750 0.500
S2 0.401 0.401 0.802
Se3 0.000 0.000 0.000
Ho1 0.212 0.212 0.424
Ho2 0.788 0.788 0.576
Tm1 0.000 0.500 0.000
Tm2 0.500 0.000 0.000


Record 3
Compound: HoUSeS2
Source: Alexandria via LeMat-Bulk
Functional: PBE-GGA
Structure: optimized geometry

## Properties
The value obtained for the volume is 123.2 Å³/f.u. The uncorrected formation energy is -1.201 eV/atom. The calculation puts the magnetic moment at 0.600 μB/atom. The space group is I4mm, No. 107.

abc: 4.321 4.321 7.274
angles: 107.28 107.28 90.00
Fractional coordinates of all 5 atoms:
Se1 0.504 0.504 0.009
Ho1 0.866 0.866 0.732
S1 0.750 0.250 0.501
U1 0.129 0.129 0.258
S2 0.250 0.750 0.501


Record 4
Compound: Y2Ho2Se2S3
Source: Alexandria via LeMat-Bulk
Functional: PBE-GGA
Structure: optimized geometry

## Properties
The value obtained for the volume is 206.6 Å³/f.u. The uncorrected formation energy is -1.684 eV/atom. The calculation puts the magnetic moment at 0.000 μB/atom. The space group is I4/mmm, No. 139.

abc: 5.329 5.329 8.194
angles: 108.98 108.98 90.00
Fractional coordinates of all 9 atoms:
S1 0.250 0.750 0.500
S2 0.000 0.000 0.000
Y1 0.798 0.798 0.596
Ho1 0.500 0.000 0.000
S3 0.750 0.250 0.500
Ho2 0.000 0.500 0.000
Y2 0.202 0.202 0.404
Se1 0.603 0.603 0.206
Se2 0.397 0.397 0.794


Record 5
Compound: Y2Ho2Se3S2
Source: Alexandria via LeMat-Bulk
Functional: PBE-GGA
Structure: optimized geometry

## Properties
The value obtained for the volume is 215.7 Å³/f.u. The uncorrected formation energy is -1.594 eV/atom. The calculation puts the magnetic moment at 0.000 μB/atom. The space group is I4/mmm, No. 139.

abc: 5.556 5.556 8.015
angles: 110.28 110.28 90.00
Fractional coordinates of all 9 atoms:
S1 0.599 0.599 0.199
Se1 0.000 0.000 0.000
Se2 0.250 0.750 0.500
Y1 0.000 0.500 0.000
S2 0.401 0.401 0.801
Se3 0.750 0.250 0.500
Ho1 0.213 0.213 0.426
Y2 0.500 0.000 0.000
Ho2 0.787 0.787 0.574


Record 6
Compound: YHoSeS
Source: Alexandria via LeMat-Bulk
Functional: PBE-GGA
Structure: optimized geometry

## Properties
The value obtained for the volume is 90.5 Å³/f.u. The uncorrected formation energy is -1.891 eV/atom. The calculation puts the magnetic moment at 0.000 μB/atom. The space group is R3m, No. 160.

abc: 3.901 3.902 7.226
angles: 90.00 105.68 120.00
Fractional coordinates of all 4 atoms:
Y1 0.487 0.142 0.644
S1 0.308 0.552 0.875
Se1 0.965 0.381 0.361
Ho1 0.117 0.957 0.089


Record 7
Compound: Ho6ZnSe2S3
Source: Alexandria via LeMat-Bulk
Functional: PBE-GGA
Structure: optimized geometry

## Properties
The value obtained for the volume is 268.4 Å³/f.u. The uncorrected formation energy is -1.616 eV/atom. The calculation puts the magnetic moment at 0.000 μB/atom. The space group is C2/m, No. 12.

abc: 6.922 6.922 6.857
angles: 99.68 99.68 119.87
Fractional coordinates of all 12 atoms:
Ho1 0.238 0.238 0.740
Ho2 0.762 0.762 0.260
Se1 0.335 0.665 0.000
Ho3 0.588 0.914 0.742
Ho4 0.412 0.086 0.258
S1 0.171 0.829 0.500
Zn1 0.000 0.000 0.000
Ho5 0.086 0.412 0.258
S2 0.829 0.171 0.500
Se2 0.665 0.335 0.000
Ho6 0.914 0.588 0.742
S3 0.500 0.500 0.500


Record 8
Compound: Ho8ZnSe4S3
Source: Alexandria via LeMat-Bulk
Functional: PBE-GGA
Structure: optimized geometry

## Properties
The value obtained for the volume is 363.1 Å³/f.u. The uncorrected formation energy is -1.652 eV/atom. The calculation puts the magnetic moment at 0.000 μB/atom. The space group is R-3m, No. 166.

abc: 7.961 8.056 7.961
angles: 119.62 120.00 90.00
Fractional coordinates of all 16 atoms:
S1 0.500 0.500 0.500
Zn1 0.000 0.500 0.000
Se1 0.000 0.000 0.500
Ho1 0.742 0.727 0.484
Ho2 0.245 0.734 0.490
Se2 0.000 0.000 0.000
Se3 0.500 0.000 0.500
Ho3 0.258 0.273 0.516
Se4 0.500 0.000 0.000
Ho4 0.744 0.734 0.989
Ho5 0.755 0.266 0.011
Ho6 0.245 0.734 0.989
Ho7 0.755 0.266 0.510
S2 0.000 0.500 0.500
S3 0.500 0.500 0.000
Ho8 0.256 0.266 0.011